# DyAg2HgF6 PBE relaxed
# raw formation energy: -2.177 eV per atom
data_DyAg2HgF6
_symmetry_space_group_name_H-M 'P 1'
_symmetry_Int_Tables_number 1
_symmetry_space_group_name_Hall 'P 1'
_cell_length_a 6.9598
_cell_length_b 5.7169
_cell_length_c 6.5567
_cell_angle_alpha 57.82
_cell_angle_beta 51.01
_cell_angle_gamma 63.50
loop_
_atom_site_label
_atom_site_type_symbol
_atom_site_fract_x
_atom_site_fract_y
_atom_site_fract_z
F1 F 0.6126 0.2154 0.3627
F2 F 0.8957 0.6232 0.2780
F3 F 0.0914 0.4971 0.6400
Hg1 Hg 0.3076 0.2404 0.2210
F4 F 0.7379 0.9711 0.8415
Ag1 Ag 0.1059 0.9921 0.7976
F5 F 0.1414 0.0039 0.1433
F6 F 0.4780 0.6250 0.8115
Dy1 Dy 0.8122 0.8310 0.5415
Ag2 Ag 0.4789 0.6624 0.3781

=====

# Rb2NaTl3Au4 PBE relaxed
# formation enthalpy at 0 K: -200 meV per atom
data_Rb2NaTl3Au4
_symmetry_space_group_name_H-M 'P 1'
_symmetry_Int_Tables_number 1
_symmetry_space_group_name_Hall 'P 1'
_cell_length_a 5.0879
_cell_length_b 5.0879
_cell_length_c 11.7857
_cell_angle_alpha 90.00
_cell_angle_beta 90.00
_cell_angle_gamma 90.00
loop_
_atom_site_label
_atom_site_type_symbol
_atom_site_fract_x
_atom_site_fract_y
_atom_site_fract_z
Tl1 Tl 0.0000 0.5000 0.1206
Au1 Au 0.5000 0.0000 0.6312
Tl2 Tl 0.0000 0.0000 0.5000
Au2 Au 0.0000 0.0000 0.0000
Tl3 Tl 0.5000 0.0000 0.8794
Rb1 Rb 0.5000 0.0000 0.2360
Au3 Au 0.5000 0.5000 0.0000
Na1 Na 0.5000 0.5000 0.5000
Rb2 Rb 0.0000 0.5000 0.7640
Au4 Au 0.0000 0.5000 0.3688

=====

# MgTlCuNi2 PBE relaxed
# formation enthalpy at 0 K: 561 meV per atom
data_MgTlCuNi2
_symmetry_space_group_name_H-M 'P 1'
_symmetry_Int_Tables_number 1
_symmetry_space_group_name_Hall 'P 1'
_cell_length_a 4.4698
_cell_length_b 4.5728
_cell_length_c 4.4698
_cell_angle_alpha 90.00
_cell_angle_beta 90.00
_cell_angle_gamma 90.00
loop_
_atom_site_label
_atom_site_type_symbol
_atom_site_fract_x
_atom_site_fract_y
_atom_site_fract_z
Ni1 Ni 0.5000 0.0000 0.0000
Cu1 Cu 0.0000 0.0000 0.0000
Mg1 Mg 0.0000 0.5000 0.0000
Ni2 Ni 0.0000 0.0000 0.5000
Tl1 Tl 0.5000 0.5000 0.5000

=====

# Ho3Er6Pu PBE relaxed
# formation enthalpy at 0 K: 176 meV per atom
data_Ho3Er6Pu
_symmetry_space_group_name_H-M 'P 1'
_symmetry_Int_Tables_number 1
_symmetry_space_group_name_Hall 'P 1'
_cell_length_a 9.4766
_cell_length_b 9.4765
_cell_length_c 6.6371
_cell_angle_alpha 45.57
_cell_angle_beta 45.56
_cell_angle_gamma 63.63
loop_
_atom_site_label
_atom_site_type_symbol
_atom_site_fract_x
_atom_site_fract_y
_atom_site_fract_z
Er1 Er 0.8442 0.5590 0.3972
Ho1 Ho 0.5616 0.6426 0.0632
Ho2 Ho 0.1570 0.2383 0.5370
Er2 Er 0.2415 0.9560 0.2024
Er3 Er 0.7890 0.0109 0.8000
Er4 Er 0.6255 0.1743 0.3000
Er5 Er 0.0327 0.4490 0.8735
Er6 Er 0.3509 0.7673 0.7268
Ho3 Ho 0.4644 0.3358 0.7998
Pu1 Pu 0.9332 0.8669 0.3002

=====

# Ga3BiPb3 PBE relaxed
# formation enthalpy at 0 K: 68 meV per atom
data_Ga3BiPb3
_symmetry_space_group_name_H-M 'P 1'
_symmetry_Int_Tables_number 1
_symmetry_space_group_name_Hall 'P 1'
_cell_length_a 4.9042
_cell_length_b 9.5052
_cell_length_c 9.5052
_cell_angle_alpha 120.00
_cell_angle_beta 90.00
_cell_angle_gamma 90.00
loop_
_atom_site_label
_atom_site_type_symbol
_atom_site_fract_x
_atom_site_fract_y
_atom_site_fract_z
Pb1 Pb 0.7500 0.4189 0.3457
Ga1 Ga 0.7500 0.0260 0.1851
Ga2 Ga 0.7500 0.8149 0.8409
Ga3 Ga 0.2500 0.8409 0.0260
Pb2 Pb 0.7500 0.6543 0.0732
Ga4 Ga 0.2500 0.1851 0.1591
Ga5 Ga 0.7500 0.1591 0.9740
Pb3 Pb 0.2500 0.5811 0.6543
Ga6 Ga 0.2500 0.9740 0.8149
Bi1 Bi 0.2500 0.6667 0.3333
Pb4 Pb 0.7500 0.9268 0.5811
Bi2 Bi 0.7500 0.3333 0.6667
Pb5 Pb 0.2500 0.0732 0.4189
Pb6 Pb 0.2500 0.3457 0.9268

=====

# Gd2YHo PBE relaxed
# formation enthalpy at 0 K: 27 meV per atom
data_Gd2YHo
_symmetry_space_group_name_H-M 'P 1'
_symmetry_Int_Tables_number 1
_symmetry_space_group_name_Hall 'P 1'
_cell_length_a 3.5630
_cell_length_b 3.5630
_cell_length_c 11.8141
_cell_angle_alpha 81.33
_cell_angle_beta 81.33
_cell_angle_gamma 60.00
loop_
_atom_site_label
_atom_site_type_symbol
_atom_site_fract_x
_atom_site_fract_y
_atom_site_fract_z
Y1 Y 0.5000 0.5000 0.5000
Ho1 Ho 0.0000 0.0000 0.0000
Gd1 Gd 0.2506 0.2506 0.2481
Gd2 Gd 0.7494 0.7494 0.7519

=====

| no. | Fermi-level density of states (states/eV per cell) |
| --- | --- |
| 1 | 3.34 |
| 2 | 3.55 |
| 3 | 4.90 |
| 4 | 14.05 |
| 5 | 5.69 |
| 6 | 6.83 |